SrCrIr2: optimized geometry, GGA-PBE.

Lattice parameters (Å, degrees): 4.373 4.373 6.031 68.73 68.73 59.98
Last column: magnetic moment on the atom in μB.
Sites, in units of the cell vectors:
Ir  0.936  0.936  0.191  -0.21
Ir  0.564  0.564  0.309  -0.21
Cr  0.250  0.250  0.250  1.96
Sr  0.750  0.750  0.750  0.00

Summary:
M_tot = 0.4312 μB/atom
Electronic total energy = -0.266 hartree per atom
Energy above the lowest structure with this stoichiometry = 0.00 kcal/mol of atoms
ρ = 9.60 g/cm³
Fermi-level density of states = 4.13 states/eV per cell
DFT formation energy = 0.1 eV per formula unit